(1)
A plane-wave DFT calculation with PBE-GGA was carried out for crystalline Na2Pr3DyS6 at its relaxed geometry.

## Properties
The calculation puts the uncorrected formation energy at -1.858 eV/atom. The total moment comes out at 0.000 μB per formula unit. For the density of states at the Fermi level, the calculation gives 3.282 states/eV per cell. The energy is -5.720 eV per atom.

Cell and atoms, written as POSCAR:
```
Na2Pr3DyS6
1.0
3.524 -6.097 0.000
3.524 6.097 0.000
-2.335 0.000 6.618
Na Pr Dy S
2 3 1 6
direct
0.166 0.834 0.000
0.834 0.166 0.000
0.000 0.000 0.500
0.329 0.671 0.500
0.671 0.329 0.500
0.500 0.500 0.000
0.095 0.419 0.758
0.260 0.260 0.248
0.419 0.095 0.758
0.581 0.905 0.242
0.740 0.740 0.752
0.905 0.581 0.242
```

---

(2)
A plane-wave DFT calculation with PBE-GGA was carried out for crystalline Na4PrDy3S8 at its relaxed geometry.

## Properties
The calculation puts the uncorrected formation energy at -1.827 eV/atom. The total moment comes out at 0.000 μB per formula unit. For the density of states at the Fermi level, the calculation gives 0.000 states/eV per cell. The energy is -5.382 eV per atom.

Cell and atoms, written as POSCAR:
```
Na4PrDy3S8
1.0
4.032 2.328 6.686
-4.032 2.328 6.686
0.000 -4.655 6.686
Na Pr Dy S
4 1 3 8
direct
0.000 0.000 0.000
0.000 0.500 0.500
0.500 0.000 0.500
0.500 0.500 0.000
0.500 0.500 0.500
0.000 0.000 0.500
0.000 0.500 0.000
0.500 0.000 0.000
0.234 0.748 0.748
0.242 0.242 0.242
0.252 0.252 0.766
0.252 0.766 0.252
0.748 0.234 0.748
0.748 0.748 0.234
0.758 0.758 0.758
0.766 0.252 0.252
```